MnTlSeO5 | PBE with a Hubbard U | optimized geometry

Geometry as CIF:
```
data_MnTlSeO5
_chemical_formula_sum 'Mn4 Tl4 Se4 O20'
_space_group_name_H-M_alt 'C 1 2/c 1'
_space_group_IT_number 15
_cell_length_a 7.2489
_cell_length_b 13.3856
_cell_length_c 5.8945
_cell_angle_alpha 90.00
_cell_angle_beta 114.92
_cell_angle_gamma 90.00
loop_
_space_group_symop_operation_xyz
'x,y,z'
'-x,-y,-z'
'-x,y,-z+1/2'
'x,-y,z+1/2'
'x+1/2,y+1/2,z'
'-x+1/2,-y+1/2,-z'
'-x+1/2,y+1/2,-z+1/2'
'x+1/2,-y+1/2,z+1/2'
loop_
_atom_site_label
_atom_site_fract_x
_atom_site_fract_y
_atom_site_fract_z
Mn1 0.0000 0.0120 0.2500
Tl1 0.2500 0.2500 0.5000
Se1 0.0000 0.4419 0.7500
O1 0.0000 0.1704 0.2500
O2 0.0019 0.3619 0.9781
O3 0.1891 0.0114 0.0936
```

Uncorrected energy   -5.61 eV/atom